w | Density functional theory data (PBE) for crystalline ZnCdNF2 at its relaxed geometry.

Summary:
Space group   No. 123
D(E_F)   1.8 states/eV/f.u.
Density   5.8 g/cm3
Calculated volume   65.9 Å³/f.u.

Cell lengths 3.9462, 3.9462, 4.2298 Å; angles 90.00, 90.00, 90.00 degrees
Last column: nearest neighbours and their distance in Å.
Fractional coordinates of all 5 atoms:
N: 0.0000 0.0000 0.5000  2 Zn 2.11
Zn: 0.0000 0.0000 0.0000  4 F 1.97, 2 N 2.11
F: 0.0000 0.5000 0.0000  2 Zn 1.97
F: 0.5000 0.0000 0.0000  2 Zn 1.97
Cd: 0.5000 0.5000 0.5000  4 N 2.79, 8 F 2.89


x | Density functional theory data (PBE) for crystalline ZnCdNF2 at its relaxed geometry.

Summary:
Space group   No. 123
D(E_F)   1.4 states/eV/f.u.
Density   4.5 g/cm3
Calculated volume   85.3 Å³/f.u.

Cell lengths 4.3636, 4.3636, 4.4806 Å; angles 90.00, 90.00, 90.00 degrees
Last column: nearest neighbours and their distance in Å.
Fractional coordinates of all 5 atoms:
N: 0.0000 0.0000 0.5000  2 Cd 2.24
Zn: 0.5000 0.5000 0.5000  4 N 3.09, 8 F 3.13
F: 0.0000 0.5000 0.0000  2 Cd 2.18
F: 0.5000 0.0000 0.0000  2 Cd 2.18
Cd: 0.0000 0.0000 0.0000  4 F 2.18, 2 N 2.24


We find w to be the most stable, with the next structure 468 meV/atom higher.


w | Density functional theory data (PBE) for crystalline ZrCdNF2 at its relaxed geometry.

Summary:
Space group   No. 123
D(E_F)   1.8 states/eV/f.u.
Density   5.4 g/cm3
Calculated volume   78.2 Å³/f.u.

Cell lengths 4.1403, 4.1403, 4.5643 Å; angles 90.00, 90.00, 90.00 degrees
Last column: nearest neighbours and their distance in Å.
Fractional coordinates of all 5 atoms:
N: 0.0000 0.0000 0.5000  2 Cd 2.28
F: 0.0000 0.5000 0.0000  2 Cd 2.07
F: 0.5000 0.0000 0.0000  2 Cd 2.07
Zr: 0.5000 0.5000 0.5000  4 N 2.93, 8 F 3.08
Cd: 0.0000 0.0000 0.0000  4 F 2.07, 2 N 2.28


x | Density functional theory data (PBE) for crystalline ZrCdNF2 at its relaxed geometry.

Summary:
Space group   No. 123
D(E_F)   1.6 states/eV/f.u.
Density   5.4 g/cm3
Calculated volume   78.9 Å³/f.u.

Cell lengths 4.2917, 4.2917, 4.2829 Å; angles 90.00, 90.00, 90.00 degrees
Last column: nearest neighbours and their distance in Å.
Fractional coordinates of all 5 atoms:
N: 0.0000 0.0000 0.5000  2 Zr 2.14
F: 0.0000 0.5000 0.0000  2 Zr 2.15
F: 0.5000 0.0000 0.0000  2 Zr 2.15
Zr: 0.0000 0.0000 0.0000  2 N 2.14, 4 F 2.15
Cd: 0.5000 0.5000 0.5000  8 F 3.03, 4 N 3.03


We find x to be the most stable, with the next structure 1161 meV/atom higher.


w | Density functional theory data (PBE) for crystalline ZrCdN2F at its relaxed geometry.

Summary:
Space group   No. 123
D(E_F)   1.5 states/eV/f.u.
Density   5.9 g/cm3
Calculated volume   70.3 Å³/f.u.

Cell lengths 4.1699, 4.1699, 4.0443 Å; angles 90.00, 90.00, 90.00 degrees
Last column: nearest neighbours and their distance in Å.
Fractional coordinates of all 5 atoms:
N: 0.0000 0.5000 0.0000  2 Cd 2.08
N: 0.5000 0.0000 0.0000  2 Cd 2.08
F: 0.0000 0.0000 0.5000  2 Cd 2.02
Zr: 0.5000 0.5000 0.5000  8 N 2.90, 4 F 2.95
Cd: 0.0000 0.0000 0.0000  2 F 2.02, 4 N 2.08


x | Density functional theory data (PBE) for crystalline ZrCdN2F at its relaxed geometry.

Summary:
Space group   No. 123
D(E_F)   2.4 states/eV/f.u.
Density   5.5 g/cm3
Calculated volume   75.9 Å³/f.u.

Cell lengths 4.2761, 4.2761, 4.1494 Å; angles 90.00, 90.00, 90.00 degrees
Last column: nearest neighbours and their distance in Å.
Fractional coordinates of all 5 atoms:
N: 0.0000 0.5000 0.0000  2 Zr 2.14
N: 0.5000 0.0000 0.0000  2 Zr 2.14
F: 0.0000 0.0000 0.5000  2 Zr 2.07
Zr: 0.0000 0.0000 0.0000  2 F 2.07, 4 N 2.14
Cd: 0.5000 0.5000 0.5000  8 N 2.98, 4 F 3.02


We find x to be the most stable, with the next structure 1067 meV/atom higher.